1.
A plane-wave DFT calculation with GGA-PBE was carried out for an optimized crystal structure of MgGa4Hg.

Calculated values
- Calculated density: 7.0 Mg/m³
- Symmetry: C2/m (12)
- Magnetic moment: 0.00 μB/f.u.

Cell lengths 5.386, 5.386, 5.992 Å; angles 106.79, 106.79, 46.34 degrees
Fractional coordinates of all 6 atoms:
Mg  0.000  0.000  0.000
Ga  0.326  0.326  0.161
Ga  0.329  0.329  0.665
Ga  0.671  0.671  0.335
Ga  0.674  0.674  0.839
Hg  0.000  0.000  0.500

2.
A plane-wave DFT calculation with GGA-PBE was carried out for an optimized crystal structure of MgGa4Hg.

Calculated values
- Calculated density: 6.8 Mg/m³
- Symmetry: F-43m (216)
- Magnetic moment: 0.00 μB/f.u.

Cell lengths 5.590, 5.590, 5.590 Å; angles 60.00, 60.00, 60.00 degrees
Fractional coordinates of all 6 atoms:
Mg  0.000  0.000  0.000
Ga  0.124  0.625  0.625
Ga  0.625  0.124  0.625
Ga  0.625  0.625  0.124
Ga  0.625  0.625  0.625
Hg  0.250  0.250  0.250

Least stable structure: 2

1.
A plane-wave DFT calculation with GGA-PBE was carried out for an optimized crystal structure of Mg2Ga2Hg.

Calculated values
- Calculated density: 6.4 Mg/m³
- Symmetry: Cmmm (65)
- Magnetic moment: 0.00 μB/f.u.

Cell lengths 7.734, 7.734, 3.278 Å; angles 90.00, 90.00, 148.98 degrees
Fractional coordinates of all 5 atoms:
Mg  0.112  0.888  0.000
Mg  0.888  0.112  0.000
Ga  0.301  0.699  0.500
Ga  0.699  0.301  0.500
Hg  0.500  0.500  0.500

2.
A plane-wave DFT calculation with GGA-PBE was carried out for an optimized crystal structure of Mg2Ga2Hg.

Calculated values
- Calculated density: 6.0 Mg/m³
- Symmetry: P4/mbm (127)
- Magnetic moment: 0.00 μB/f.u.

Cell lengths 7.978, 7.978, 3.392 Å; angles 90.00, 90.00, 90.00 degrees
Fractional coordinates of all 10 atoms:
Mg  0.178  0.322  0.000
Mg  0.322  0.822  0.000
Mg  0.678  0.178  0.000
Mg  0.822  0.678  0.000
Ga  0.119  0.619  0.500
Ga  0.381  0.119  0.500
Ga  0.619  0.881  0.500
Ga  0.881  0.381  0.500
Hg  0.000  0.000  0.000
Hg  0.500  0.500  0.000

3.
A plane-wave DFT calculation with GGA-PBE was carried out for an optimized crystal structure of Mg2Ga2Hg.

Calculated values
- Calculated density: 5.8 Mg/m³
- Symmetry: I4/mmm (139)
- Magnetic moment: 0.00 μB/f.u.

Cell lengths 6.772, 6.772, 6.772 Å; angles 142.98, 142.98, 53.36 degrees
Fractional coordinates of all 5 atoms:
Mg  0.250  0.750  0.500
Mg  0.750  0.250  0.500
Ga  0.100  0.100  0.000
Ga  0.900  0.900  0.000
Hg  0.500  0.500  0.000

Least stable structure: 3